# NiRh2Cl

An optimized crystal structure of NiRh2Cl (PBE, the Alexandria database).

a b c (Å): 2.769 4.940 8.456
angles (deg): 90.00 90.00 90.00
Space group Cmm2 (No. 35)
Asymmetric unit:
Ni1 0.000 0.000 0.000
Rh1 0.000 0.000 0.484
Rh2 0.000 0.500 0.750
Cl1 0.000 0.500 0.221

uncorrected formation energy = 0.40 eV per atom
magnetization = 0.742 Bohr magnetons per cell
N(E_F) = 6.40 states/eV/f.u.
excess energy over the best structure of this formula in the dataset = 17.1 kJ per mole of atoms

---

# AlHg2W

An optimized crystal structure of AlHg2W (PBE, the Alexandria database).

a b c (Å): 3.977 3.977 20.634
angles (deg): 90.00 90.00 90.00
Space group I-42d (No. 122)
Asymmetric unit:
Al1 0.000 0.000 0.000
Hg1 0.245 0.250 0.625
W1 0.000 0.000 0.500

magnetization = 3.662 Bohr magnetons per cell
N(E_F) = 1.86 states/eV/f.u.
calculated formation energy = 0.837 eV per atom

---

# LaPb2Br

An optimized crystal structure of LaPb2Br (PBE, the Alexandria database).

a b c (Å): 3.669 6.098 11.339
angles (deg): 90.00 90.00 90.00
Space group Imm2 (No. 44)
Asymmetric unit:
La1 0.000 0.000 0.000
Pb1 0.000 0.000 0.513
Pb2 0.000 0.500 0.776
Br1 0.000 0.500 0.287

uncorrected formation energy = -0.56 eV per atom
magnetization = 0.000 Bohr magnetons per cell
N(E_F) = 3.02 states/eV/f.u.
excess energy over the best structure of this formula in the dataset = 22.6 kJ per mole of atoms

---

# Tb2Zn9Ni3

An optimized crystal structure of Tb2Zn9Ni3 (PBE, the Alexandria database).

a b c (Å): 13.133 7.325 10.269
angles (deg): 90.00 116.02 90.00
Space group C2/c (No. 15)
Asymmetric unit:
Tb1 0.168 0.079 0.240
Zn1 0.000 0.354 0.250
Zn2 0.059 0.096 0.917
Zn3 0.096 0.419 0.042
Zn4 0.105 0.324 0.743
Zn5 0.220 0.415 0.434
Ni1 0.089 0.225 0.503
Ni2 0.250 0.250 0.000

magnetization = 0.000 Bohr magnetons per cell
N(E_F) = 7.57 states/eV/f.u.
calculated formation energy = -0.307 eV per atom

---

The lowest N(E_F) belongs to which entry? AlHg2W

---

Among the records above, which one has the highest N(E_F)? Tb2Zn9Ni3

---

Number 1 is which compound? NiRh2Cl

---

What is the formula in the fourth record? Tb2Zn9Ni3